Entry 1:
! Sm3Ag5H12 PBE relaxed; values from VASP
! **E**: -71.6 eV/f.u.
! **Total magnetic moment**: 0.00 μB per cell
&SYSTEM
  ibrav = 0, nat = 80, ntyp = 3
/
ATOMIC_SPECIES
Sm 150.36 Sm.upf
Ag 107.87 Ag.upf
H 1.01 H.upf
CELL_PARAMETERS angstrom
-6.2040 6.2040 6.2040
6.2040 -6.2040 6.2040
6.2040 6.2040 -6.2040
ATOMIC_POSITIONS crystal
Sm 0.1250 0.2500 0.3750
Sm 0.1250 0.3750 0.7500
Sm 0.2500 0.3750 0.1250
Sm 0.2500 0.8750 0.6250
Sm 0.3750 0.1250 0.2500
Sm 0.3750 0.7500 0.1250
Sm 0.6250 0.2500 0.8750
Sm 0.6250 0.8750 0.7500
Sm 0.7500 0.1250 0.3750
Sm 0.7500 0.6250 0.8750
Sm 0.8750 0.6250 0.2500
Sm 0.8750 0.7500 0.6250
Ag 0.0000 0.0000 0.0000
Ag 0.0000 0.0000 0.5000
Ag 0.0000 0.5000 0.0000
Ag 0.0000 0.5000 0.5000
Ag 0.1250 0.7500 0.8750
Ag 0.1250 0.8750 0.2500
Ag 0.2500 0.1250 0.8750
Ag 0.2500 0.6250 0.3750
Ag 0.3750 0.2500 0.6250
Ag 0.3750 0.6250 0.7500
Ag 0.5000 0.0000 0.0000
Ag 0.5000 0.0000 0.5000
Ag 0.5000 0.5000 0.0000
Ag 0.5000 0.5000 0.5000
Ag 0.6250 0.3750 0.2500
Ag 0.6250 0.7500 0.3750
Ag 0.7500 0.3750 0.6250
Ag 0.7500 0.8750 0.1250
Ag 0.8750 0.1250 0.7500
Ag 0.8750 0.2500 0.1250
H 0.0384 0.2164 0.1313
H 0.0384 0.3219 0.9071
H 0.0852 0.7164 0.6781
H 0.0852 0.8687 0.4071
H 0.0929 0.6313 0.4148
H 0.0929 0.9616 0.6781
H 0.1313 0.0384 0.2164
H 0.1313 0.5929 0.9148
H 0.1781 0.2164 0.5852
H 0.1781 0.4616 0.5929
H 0.2164 0.1313 0.0384
H 0.2164 0.5852 0.1781
H 0.2836 0.3219 0.9148
H 0.2836 0.4616 0.3687
H 0.3219 0.9071 0.0384
H 0.3219 0.9148 0.2836
H 0.3687 0.2836 0.4616
H 0.3687 0.5852 0.9071
H 0.4071 0.0852 0.8687
H 0.4071 0.8219 0.5384
H 0.4148 0.0929 0.6313
H 0.4148 0.8219 0.7836
H 0.4616 0.3687 0.2836
H 0.4616 0.5929 0.1781
H 0.5384 0.4071 0.8219
H 0.5384 0.6313 0.7164
H 0.5852 0.1781 0.2164
H 0.5852 0.9071 0.3687
H 0.5929 0.1781 0.4616
H 0.5929 0.9148 0.1313
H 0.6313 0.4148 0.0929
H 0.6313 0.7164 0.5384
H 0.6781 0.0852 0.7164
H 0.6781 0.0929 0.9616
H 0.7164 0.5384 0.6313
H 0.7164 0.6781 0.0852
H 0.7836 0.4148 0.8219
H 0.7836 0.8687 0.9616
H 0.8219 0.5384 0.4071
H 0.8219 0.7836 0.4148
H 0.8687 0.4071 0.0852
H 0.8687 0.9616 0.7836
H 0.9071 0.0384 0.3219
H 0.9071 0.3687 0.5852
H 0.9148 0.1313 0.5929
H 0.9148 0.2836 0.3219
H 0.9616 0.6781 0.0929
H 0.9616 0.7836 0.8687

=====

Entry 2:
! LiMoBr2 PBE relaxed; values from VASP
! **Total magnetic moment**: 4.16 μB per cell
! **Energy above the most stable polymorph in this dataset**: 0.082 eV/atom
! **E_form (uncorrected)**: -2.9 kJ per mole of atoms
&SYSTEM
  ibrav = 0, nat = 4, ntyp = 3
/
ATOMIC_SPECIES
Li 6.94 Li.upf
Mo 95.94 Mo.upf
Br 79.90 Br.upf
CELL_PARAMETERS angstrom
3.9925 0.0000 0.0000
0.0000 4.0231 0.0000
0.0000 0.0000 5.7770
ATOMIC_POSITIONS crystal
Li 0.0000 0.0000 0.0000
Mo 0.5000 0.5000 0.4696
Br 0.0000 0.0000 0.4717
Br 0.5000 0.5000 0.9684

=====

Entry 3:
! LiZnAs2 PBE relaxed; values from VASP
! **Formation energy**: -0.1627 eV/atom
! **Total magnetic moment**: 0.00 μB per cell
&SYSTEM
  ibrav = 0, nat = 4, ntyp = 3
/
ATOMIC_SPECIES
Li 6.94 Li.upf
Zn 65.41 Zn.upf
As 74.92 As.upf
CELL_PARAMETERS angstrom
2.9206 0.0000 0.0000
0.0000 4.1971 0.0000
0.0000 0.0000 5.8777
ATOMIC_POSITIONS crystal
Li 0.0000 0.0000 0.0000
Zn 0.5000 0.0000 0.5000
As 0.5000 0.5000 0.2230
As 0.5000 0.5000 0.7770

=====

Entry 4:
! LaErIr4 PBE relaxed; values from VASP
! **Formation energy**: -0.7462 eV/atom
! **Total magnetic moment**: 0.00 μB per cell
&SYSTEM
  ibrav = 0, nat = 6, ntyp = 3
/
ATOMIC_SPECIES
La 138.91 La.upf
Er 167.26 Er.upf
Ir 192.22 Ir.upf
CELL_PARAMETERS angstrom
0.0000 3.8253 3.8253
3.8253 0.0000 3.8253
3.8253 3.8253 0.0000
ATOMIC_POSITIONS crystal
La 0.0000 0.0000 0.0000
Er 0.2500 0.2500 0.2500
Ir 0.1259 0.6247 0.6247
Ir 0.6247 0.1259 0.6247
Ir 0.6247 0.6247 0.1259
Ir 0.6247 0.6247 0.6247

=====

Entry 5:
! Li2TmCl4 PBE relaxed; values from VASP
! **Total magnetic moment**: 2.00 μB per cell
! **E_form (uncorrected)**: -164.6 kJ per mole of atoms
&SYSTEM
  ibrav = 0, nat = 14, ntyp = 3
/
ATOMIC_SPECIES
Li 6.94 Li.upf
Tm 168.93 Tm.upf
Cl 35.45 Cl.upf
CELL_PARAMETERS angstrom
7.9397 0.0000 0.0000
0.0000 7.9397 0.0000
0.0000 0.0000 6.5657
ATOMIC_POSITIONS crystal
Li 0.0000 0.5000 0.2500
Li 0.0000 0.5000 0.7500
Li 0.5000 0.0000 0.2500
Li 0.5000 0.0000 0.7500
Tm 0.0000 0.0000 0.0000
Tm 0.5000 0.5000 0.5000
Cl 0.1142 0.6919 0.0000
Cl 0.1919 0.3858 0.5000
Cl 0.3081 0.1142 0.0000
Cl 0.3858 0.8081 0.5000
Cl 0.6142 0.1919 0.5000
Cl 0.6919 0.8858 0.0000
Cl 0.8081 0.6142 0.5000
Cl 0.8858 0.3081 0.0000

=====

Entry 6:
! Mn2CrFeN PBE relaxed; values from VASP
! **Total magnetic moment**: 2.11 μB per cell
! **E_form (uncorrected)**: -12.1 kJ per mole of atoms
&SYSTEM
  ibrav = 0, nat = 5, ntyp = 4
/
ATOMIC_SPECIES
Mn 54.94 Mn.upf
Cr 52.00 Cr.upf
Fe 55.84 Fe.upf
N 14.01 N.upf
CELL_PARAMETERS angstrom
3.7438 0.0000 0.0000
0.0000 3.7438 0.0000
0.0000 0.0000 3.7911
ATOMIC_POSITIONS crystal
Mn 0.0000 0.5000 0.0000
Mn 0.5000 0.0000 0.0000
Cr 0.0000 0.0000 0.5000
Fe 0.5000 0.5000 0.5000
N 0.0000 0.0000 0.0000

=====

Entry 7:
! U2Tl2NiSe6 PBE relaxed; values from VASP
! **Total magnetic moment**: 4.94 μB per cell
! **E_form (uncorrected)**: -69.2 kJ per mole of atoms
&SYSTEM
  ibrav = 0, nat = 11, ntyp = 4
/
ATOMIC_SPECIES
U 238.03 U.upf
Tl 204.38 Tl.upf
Ni 58.69 Ni.upf
Se 78.96 Se.upf
CELL_PARAMETERS angstrom
3.4295 -5.9719 0.0000
3.4295 5.9719 0.0000
-2.3951 0.0000 7.9484
ATOMIC_POSITIONS crystal
U 0.1675 0.8325 0.0000
U 0.8325 0.1675 0.0000
Tl 0.3298 0.6702 0.5000
Tl 0.6702 0.3298 0.5000
Ni 0.5000 0.5000 0.0000
Se 0.1066 0.4293 0.8007
Se 0.2614 0.2614 0.1858
Se 0.4293 0.1066 0.8007
Se 0.5707 0.8934 0.1993
Se 0.7386 0.7386 0.8142
Se 0.8934 0.5707 0.1993

=====

Entry 8:
! PmSm2Zn5 PBE relaxed; values from VASP
! **Formation energy**: -0.2969 eV/atom
! **Total magnetic moment**: 0.00 μB per cell
&SYSTEM
  ibrav = 0, nat = 16, ntyp = 3
/
ATOMIC_SPECIES
Pm 145.00 Pm.upf
Sm 150.36 Sm.upf
Zn 65.41 Zn.upf
CELL_PARAMETERS angstrom
4.9017 0.0000 0.0000
0.0000 4.9017 0.0000
0.0000 0.0000 14.4795
ATOMIC_POSITIONS crystal
Pm 0.0000 0.0000 0.0000
Pm 0.5000 0.5000 0.5000
Sm 0.0000 0.0000 0.2695
Sm 0.0000 0.0000 0.7305
Sm 0.5000 0.5000 0.2305
Sm 0.5000 0.5000 0.7695
Zn 0.0000 0.0000 0.5000
Zn 0.0000 0.5000 0.1144
Zn 0.0000 0.5000 0.3856
Zn 0.0000 0.5000 0.6144
Zn 0.0000 0.5000 0.8856
Zn 0.5000 0.0000 0.1144
Zn 0.5000 0.0000 0.3856
Zn 0.5000 0.0000 0.6144
Zn 0.5000 0.0000 0.8856
Zn 0.5000 0.5000 0.0000